[1]
The following is a PBE-GGA calculation of crystalline Rb3DyPu2O9 at its relaxed geometry, from the Alexandria database.

Cell lengths 6.1105, 6.1105, 7.4928 Å; angles 90.00, 90.00, 120.00 degrees
Closest atoms and distances in Å follow each position.
Fractional positions:
1 Rb 0.0000 0.0000 0.0000  12 O 3.04-3.06
2 Rb 0.3333 0.6667 0.6626  12 O 3.05-3.08
3 Rb 0.6667 0.3333 0.3374  12 O 3.05-3.08
4 Dy 0.0000 0.0000 0.5000  6 O 2.29
5 Pu 0.3333 0.6667 0.1648  6 O 2.04-2.15
6 Pu 0.6667 0.3333 0.8352  6 O 2.04-2.15
7 O 0.0000 0.5000 0.0000  2 Pu 2.15
8 O 0.1757 0.3515 0.3210  1 Pu 2.04
9 O 0.1757 0.8243 0.3210  1 Pu 2.04
10 O 0.3515 0.1757 0.6790  1 Pu 2.04
11 O 0.5000 0.0000 0.0000  2 Pu 2.15
12 O 0.5000 0.5000 0.0000  2 Pu 2.15
13 O 0.6485 0.8243 0.3210  1 Pu 2.04
14 O 0.8243 0.1757 0.6790  1 Pu 2.04
15 O 0.8243 0.6485 0.6790  1 Pu 2.04

The volume is 242.3 Å³ per cell. As for the energy relative to the elements, uncorrected: -2.5274 eV per atom.


[2]
The following is a PBE-GGA calculation of crystalline GdPd4Pb at its relaxed geometry, from the Alexandria database.

Cell lengths 5.4485, 5.4485, 5.4485 Å; angles 60.00, 60.00, 60.00 degrees
Closest atoms and distances in Å follow each position.
Fractional positions:
1 Gd 0.0000 0.0000 0.0000  12 Pd 3.19, 4 Pb 3.34
2 Pd 0.3750 0.3750 0.3750  6 Pd 2.72-2.73
3 Pd 0.3750 0.3750 0.8749  6 Pd 2.72-2.73
4 Pd 0.3750 0.8749 0.3750  6 Pd 2.72-2.73
5 Pd 0.8749 0.3750 0.3750  6 Pd 2.72-2.73
6 Pb 0.7500 0.7500 0.7500  12 Pd 3.19, 4 Gd 3.34

The volume is 114.4 Å³ per cell. The formation energy from the elements comes out at -559 meV/atom.


[3]
The following is a PBE-GGA calculation of crystalline Hf3In at its relaxed geometry, from the Alexandria database.

Cell lengths 3.1695, 5.1490, 5.4277 Å; angles 90.00, 90.00, 90.00 degrees
Closest atoms and distances in Å follow each position.
Fractional positions:
1 Hf 0.0000 0.0000 0.0000  8 Hf 3.13-3.22, 4 In 3.13
2 Hf 0.0000 0.5000 0.3550  4 In 3.11-3.18, 8 Hf 3.12-3.22
3 Hf 0.5000 0.0000 0.4965  10 Hf 3.12-3.17, 2 In 3.20
4 In 0.5000 0.5000 0.8476  10 Hf 3.11-3.20, 2 In 3.17

The volume is 88.6 Å³ per cell. The formation energy from the elements comes out at -69 meV/atom.


[4]
The following is a PBE-GGA calculation of crystalline K3Ag at its relaxed geometry, from the Alexandria database.

Cell lengths 8.1921, 8.1921, 12.7743 Å; angles 90.00, 90.00, 120.00 degrees
Closest atoms and distances in Å follow each position.
Fractional positions:
1 K 0.0000 0.5000 0.0000  4 Ag 3.97-4.10, 8 K 4.03-4.10
2 K 0.0000 0.5000 0.5000  4 Ag 3.97-4.10, 8 K 4.03-4.10
3 K 0.1547 0.3094 0.2500  6 K 3.80-4.03, 4 Ag 3.88-4.10
4 K 0.1547 0.8453 0.2500  6 K 3.80-4.03, 4 Ag 3.88-4.10
5 K 0.3094 0.1547 0.7500  6 K 3.80-4.03, 4 Ag 3.88-4.10
6 K 0.5000 0.0000 0.0000  4 Ag 3.97-4.10, 8 K 4.03-4.10
7 K 0.5000 0.0000 0.5000  4 Ag 3.97-4.10, 8 K 4.03-4.10
8 K 0.5000 0.5000 0.0000  4 Ag 3.97-4.10, 8 K 4.03-4.10
9 K 0.5000 0.5000 0.5000  4 Ag 3.97-4.10, 8 K 4.03-4.10
10 K 0.6906 0.8453 0.2500  6 K 3.80-4.03, 4 Ag 3.88-4.10
11 K 0.8453 0.1547 0.7500  6 K 3.80-4.03, 4 Ag 3.88-4.10
12 K 0.8453 0.6906 0.7500  6 K 3.80-4.03, 4 Ag 3.88-4.10
13 Ag 0.0000 0.0000 0.0000  12 K 3.88-4.10
14 Ag 0.0000 0.0000 0.5000  12 K 3.88-4.10
15 Ag 0.3333 0.6667 0.7500  12 K 3.97-4.10
16 Ag 0.6667 0.3333 0.2500  12 K 3.97-4.10

The volume is 742.4 Å³ per cell. The formation energy from the elements comes out at 100 meV/atom.


[5]
The following is a PBE-GGA calculation of crystalline TePPtCl2 at its relaxed geometry, from the Alexandria database.

Cell lengths 4.8477, 4.8477, 4.7917 Å; angles 90.00, 90.00, 90.00 degrees
Closest atoms and distances in Å follow each position.
Fractional positions:
1 Te 0.0000 0.0000 0.0000  8 Cl 3.41, 4 P 3.43
2 P 0.5000 0.5000 0.0000  2 Pt 2.40
3 Pt 0.5000 0.5000 0.5000  2 P 2.40, 4 Cl 2.42
4 Cl 0.0000 0.5000 0.5000  2 Pt 2.42
5 Cl 0.5000 0.0000 0.5000  2 Pt 2.42

The volume is 112.6 Å³ per cell. As for the energy relative to the elements, uncorrected: 0.2861 eV per atom.


[6]
The following is a PBE-GGA calculation of crystalline CsRb2H2 at its relaxed geometry, from the Alexandria database.

Cell lengths 10.4215, 10.4215, 4.0712 Å; angles 90.00, 90.00, 90.00 degrees
Closest atoms and distances in Å follow each position.
Fractional positions:
1 Cs 0.0000 0.0000 0.0000  2 Cs 4.07, 4 Rb 4.20
2 Cs 0.5000 0.5000 0.0000  2 Cs 4.07, 4 Rb 4.20
3 Rb 0.1133 0.3867 0.0000  4 H 3.06, 1 Rb 3.34
4 Rb 0.3867 0.8867 0.0000  4 H 3.06, 1 Rb 3.34
5 Rb 0.6133 0.1133 0.0000  4 H 3.06, 1 Rb 3.34
6 Rb 0.8867 0.6133 0.0000  4 H 3.06, 1 Rb 3.34
7 H 0.1055 0.6055 0.5000  4 Rb 3.06, 1 H 3.11
8 H 0.3945 0.1055 0.5000  4 Rb 3.06, 1 H 3.11
9 H 0.6055 0.8945 0.5000  4 Rb 3.06, 1 H 3.11
10 H 0.8945 0.3945 0.5000  4 Rb 3.06, 1 H 3.11

The volume is 442.2 Å³ per cell. The calculation puts the total energy at -1.69 eV per atom.


[7]
The following is a PBE-GGA calculation of crystalline NiIr2Pb at its relaxed geometry, from the Alexandria database.

Cell lengths 2.9382, 2.9382, 7.7505 Å; angles 90.00, 90.00, 90.00 degrees
Closest atoms and distances in Å follow each position.
Fractional positions:
1 Ni 0.0000 0.0000 0.0000  4 Ir 2.59
2 Ir 0.0000 0.0000 0.5818  8 Ir 2.68-2.94
3 Ir 0.5000 0.5000 0.7994  4 Ni 2.59, 4 Ir 2.68
4 Pb 0.5000 0.5000 0.2770  4 Pb 2.94, 4 Ni 2.99, 4 Ir 3.15

The volume is 66.9 Å³ per cell. The formation energy from the elements comes out at 430 meV/atom.


[8]
The following is a PBE-GGA calculation of crystalline ZrGeTe2 at its relaxed geometry, from the Alexandria database.

Cell lengths 9.3333, 9.3333, 9.3333 Å; angles 24.24, 24.24, 24.24 degrees
Closest atoms and distances in Å follow each position.
Fractional positions:
1 Zr 0.0000 0.0000 0.0000  2 Te 2.78
2 Ge 0.5000 0.5000 0.5000  6 Te 2.86
3 Te 0.1023 0.1023 0.1023  1 Zr 2.78, 3 Ge 2.86
4 Te 0.8977 0.8977 0.8977  1 Zr 2.78, 3 Ge 2.86

The volume is 120.5 Å³ per cell. As for the energy relative to the elements, uncorrected: 0.2436 eV per atom.